DFT (SCAN) results for a crystal of Al2RhPb relaxed with PBEsol.

DOS at the Fermi energy = 0.3693 states/eV per atom
formation enthalpy at 0 K = -1.2 eV per formula unit
energy = -126.25 eV/cell

Lattice parameters (Å, degrees): 3.1534 3.1534 8.8028 79.68 79.68 60.00
With the nearest neighbours (Å) after each atom.
Positions (direct):
Pb1 0.5000 0.5000 0.5000  6 Pb 3.15, 6 Al 3.17
Rh1 0.0000 0.0000 0.0000  6 Al 2.50
Al1 0.2669 0.2669 0.1992  3 Rh 2.50
Al2 0.7331 0.7331 0.8008  3 Rh 2.50

DFT (SCAN) results for a crystal of AsWO3 relaxed with PBEsol.

DOS at the Fermi energy = 0.5521 states/eV per atom
energy = -107.06 eV/cell

Lattice parameters (Å, degrees): 3.8831 3.8831 3.8831 90.00 90.00 90.00
With the nearest neighbours (Å) after each atom.
Positions (direct):
As1 0.0000 0.0000 0.0000  6 O 1.94
O1 0.0000 0.5000 0.0000  2 As 1.94
O2 0.0000 0.0000 0.5000  2 As 1.94
O3 0.5000 0.0000 0.0000  2 As 1.94
W1 0.5000 0.5000 0.5000  12 O 2.75

DFT (SCAN) results for a crystal of Ca2AlHg relaxed with PBEsol.

DOS at the Fermi energy = 0.5050 states/eV per atom
formation enthalpy at 0 K = -1.8 eV per formula unit
energy above the lowest structure with this stoichiometry = 9 meV/atom
energy = -97.03 eV/cell

Lattice parameters (Å, degrees): 5.2352 5.2352 5.2352 60.00 60.00 60.00
With the nearest neighbours (Å) after each atom.
Positions (direct):
Ca1 0.7500 0.7500 0.7500  4 Al 3.21, 4 Hg 3.21
Ca2 0.2500 0.2500 0.2500  4 Hg 3.21, 4 Al 3.21
Hg1 0.0000 0.0000 0.0000  8 Ca 3.21
Al1 0.5000 0.5000 0.5000  8 Ca 3.21

DFT (SCAN) results for a crystal of BePt2W relaxed with PBEsol.

DOS at the Fermi energy = 0.3338 states/eV per atom
formation enthalpy at 0 K = -2.4 eV per formula unit
energy = -216.83 eV/cell

Lattice parameters (Å, degrees): 2.7490 2.7490 6.9412 90.00 90.00 90.00
With the nearest neighbours (Å) after each atom.
Positions (direct):
Be1 0.5000 0.5000 0.5000  8 Pt 2.43
Pt1 0.0000 0.0000 0.7092  4 Be 2.43
Pt2 0.0000 0.0000 0.2908  4 Be 2.43
W1 0.5000 0.5000 0.0000  4 W 2.75, 8 Pt 2.80

DFT (SCAN) results for a crystal of NiPtRh2 relaxed with PBEsol.

DOS at the Fermi energy = 0.9667 states/eV per atom
formation enthalpy at 0 K = -0.1 eV per formula unit
energy = -154.01 eV/cell

Lattice parameters (Å, degrees): 2.6724 4.5980 4.5980 109.68 90.00 90.00
With the nearest neighbours (Å) after each atom.
Positions (direct):
Ni1 0.5000 0.0000 0.0000  2 Pt 2.65, 8 Rh 2.66, 2 Ni 2.67
Rh1 0.0000 0.5000 0.0000  4 Rh 2.65-2.67, 4 Ni 2.66, 4 Pt 2.66
Rh2 0.0000 0.0000 0.5000  4 Rh 2.65-2.67, 4 Pt 2.66, 4 Ni 2.66
Pt1 0.5000 0.5000 0.5000  2 Ni 2.65, 8 Rh 2.66, 2 Pt 2.67

DFT (SCAN) results for a crystal of LiMnPO4 relaxed with PBEsol.

DOS at the Fermi energy = 0.0000 states/eV per atom
energy above the lowest structure with this stoichiometry = 37 meV/atom
energy = -292.50 eV/cell

Lattice parameters (Å, degrees): 5.4160 7.8878 8.3013 105.60 90.00 90.00
With the nearest neighbours (Å) after each atom.
Positions (direct):
Li1 0.1578 0.9675 0.0676  4 O 1.88-2.02
Li2 0.6569 0.5017 0.2896  4 O 1.94-2.01
Li3 0.8422 0.9675 0.5676  4 O 1.88-2.02
Li4 0.3431 0.5017 0.7896  4 O 1.94-2.01
Mn1 0.6603 0.8660 0.1885  4 O 1.98-2.10
Mn2 0.1579 0.3719 0.4066  4 O 1.99-2.05
Mn3 0.3397 0.8660 0.6885  4 O 1.98-2.10
Mn4 0.8421 0.3719 0.9066  4 O 1.99-2.05
P1 0.8358 0.7407 0.8181  4 O 1.55-1.56
P2 0.6582 0.2464 0.5201  4 O 1.55
P3 0.1642 0.7407 0.3181  4 O 1.55-1.56
P4 0.3418 0.2464 0.0201  4 O 1.55
O1 0.6033 0.3202 0.0711  1 P 1.55
O2 0.2054 0.3775 0.9415  1 P 1.55
O3 0.8425 0.8883 0.9856  1 P 1.56
O4 0.6872 0.5846 0.8488  1 P 1.55
O5 0.2961 0.8083 0.1816  1 P 1.55
O6 0.3450 0.0596 0.8983  1 P 1.55
O7 0.8938 0.6879 0.2628  1 P 1.56
O8 0.2020 0.2182 0.1736  1 P 1.55
O9 0.3128 0.5846 0.3488  1 P 1.55
O10 0.1575 0.8883 0.4856  1 P 1.56
O11 0.7980 0.2182 0.6736  1 P 1.55
O12 0.6550 0.0596 0.3983  1 P 1.55
O13 0.7039 0.8083 0.6816  1 P 1.55
O14 0.3967 0.3202 0.5711  1 P 1.55
O15 0.1062 0.6879 0.7628  1 P 1.56
O16 0.7946 0.3775 0.4415  1 P 1.55